The following is a GGA-PBE calculation of a relaxed MgBIrPt crystal, from the Alexandria database.

- Density: 13.0 g cm⁻³
- ΔH_f (0 K): -497 meV per atom
- SG: Amm2 (38)

abc: 2.845 6.748 6.748
angles: 24.51 90.00 90.00
Element x y z (fractional)
Mg 0.000 0.000 0.000
B 0.000 0.223 0.223
Ir 0.500 0.656 0.656
Pt 0.500 0.352 0.352

***

The following is a GGA-PBE calculation of a relaxed Pm4CN2 crystal, from the Alexandria database.

- Offset from the most stable computed form: 0.41 eV/f.u.
- Density: 7.2 g cm⁻³
- SG: P4_122 (91)

abc: 7.405 7.405 10.502
angles: 90.00 90.00 90.00
Element x y z (fractional)
Pm 0.008 0.246 0.259
Pm 0.008 0.754 0.241
Pm 0.246 0.008 0.491
Pm 0.246 0.482 0.495
Pm 0.246 0.518 0.005
Pm 0.246 0.992 0.009
Pm 0.482 0.246 0.255
Pm 0.482 0.754 0.245
Pm 0.518 0.246 0.745
Pm 0.518 0.754 0.755
Pm 0.754 0.008 0.509
Pm 0.754 0.482 0.505
Pm 0.754 0.518 0.995
Pm 0.754 0.992 0.991
Pm 0.992 0.246 0.741
Pm 0.992 0.754 0.759
C 0.241 0.500 0.250
C 0.500 0.241 0.500
C 0.500 0.759 0.000
C 0.759 0.500 0.750
N 0.000 0.243 0.500
N 0.000 0.757 0.000
N 0.243 0.000 0.250
N 0.252 0.252 0.875
N 0.252 0.748 0.625
N 0.748 0.252 0.125
N 0.748 0.748 0.375
N 0.757 0.000 0.750

***

The following is a GGA-PBE calculation of a relaxed ZrAg2Hg crystal, from the Alexandria database.

- Density: 10.2 g cm⁻³
- ΔH_f (0 K): 46 meV per atom
- SG: R-3m (166)

abc: 10.129 10.129 10.129
angles: 17.53 17.53 17.53
Element x y z (fractional)
Zr 0.000 0.000 0.000
Ag 0.251 0.251 0.251
Ag 0.749 0.749 0.749
Hg 0.500 0.500 0.500

***

The following is a GGA-PBE calculation of a relaxed RbSnGeAu2 crystal, from the Alexandria database.

- Density: 6.0 g cm⁻³
- ΔH_f (0 K): 1302 meV per atom
- SG: P4/mmm (123)

abc: 5.716 5.716 5.641
angles: 90.00 90.00 90.00
Element x y z (fractional)
Rb 0.000 0.000 0.000
Sn 0.500 0.500 0.500
Ge 0.000 0.000 0.500
Au 0.000 0.500 0.000
Au 0.500 0.000 0.000

***

The following is a GGA-PBE calculation of a relaxed Li2CuRh crystal, from the Alexandria database.

- Offset from the most stable computed form: 0.10 eV/f.u.
- Density: 5.8 g cm⁻³
- ΔH_f (0 K): -104 meV per atom
- SG: I4/mmm (139)

abc: 4.702 4.702 4.702
angles: 134.59 134.59 66.16
Element x y z (fractional)
Li 0.250 0.750 0.500
Li 0.750 0.250 0.500
Cu 0.000 0.000 0.000
Rh 0.500 0.500 0.000

***

The following is a GGA-PBE calculation of a relaxed Dy5Tm4Zn crystal, from the Alexandria database.

- Density: 8.8 g cm⁻³
- ΔH_f (0 K): -48 meV per atom
- SG: P4/mmm (123)

abc: 3.524 3.524 23.518
angles: 90.00 90.00 90.00
Element x y z (fractional)
Dy 0.000 0.000 0.000
Dy 0.000 0.000 0.211
Dy 0.000 0.000 0.424
Dy 0.000 0.000 0.576
Dy 0.000 0.000 0.789
Tm 0.500 0.500 0.105
Tm 0.500 0.500 0.316
Tm 0.500 0.500 0.684
Tm 0.500 0.500 0.895
Zn 0.500 0.500 0.500

***

The following is a GGA-PBE calculation of a relaxed La4As3I crystal, from the Alexandria database.

- Density: 6.1 g cm⁻³
- SG: P6_3/mmc (194)
- E: -5.8975 eV/atom

abc: 4.403 4.403 29.517
angles: 90.00 90.00 120.00
Element x y z (fractional)
La 0.000 0.000 0.173
La 0.000 0.000 0.327
La 0.000 0.000 0.673
La 0.000 0.000 0.827
La 0.333 0.667 0.058
La 0.333 0.667 0.442
La 0.667 0.333 0.558
La 0.667 0.333 0.942
As 0.000 0.000 0.000
As 0.000 0.000 0.500
As 0.333 0.667 0.620
As 0.333 0.667 0.880
As 0.667 0.333 0.120
As 0.667 0.333 0.380
I 0.333 0.667 0.250
I 0.667 0.333 0.750

***

The following is a GGA-PBE calculation of a relaxed Ce6PtAu2 crystal, from the Alexandria database.

- Density: 10.3 g cm⁻³
- ΔH_f (0 K): -493 meV per atom
- SG: Amm2 (38)

abc: 3.674 8.774 8.774
angles: 125.52 90.00 90.00
Element x y z (fractional)
Ce 0.000 0.000 0.000
Ce 0.000 0.247 0.515
Ce 0.000 0.515 0.247
Ce 0.500 0.239 0.857
Ce 0.500 0.708 0.708
Ce 0.500 0.857 0.239
Pt 0.500 0.297 0.297
Au 0.000 0.577 0.916
Au 0.000 0.916 0.577

***

The following is a GGA-PBE calculation of a relaxed Zr2IrAu crystal, from the Alexandria database.

- Density: 12.1 g cm⁻³
- ΔH_f (0 K): -690 meV per atom
- SG: Pm (6)

abc: 3.406 4.398 5.518
angles: 90.00 107.80 90.00
Element x y z (fractional)
Zr 0.000 0.000 0.000
Zr 0.288 0.500 0.581
Ir 0.742 0.000 0.488
Au 0.561 0.500 0.123

***

The following is a GGA-PBE calculation of a relaxed K2ClF crystal, from the Alexandria database.

- Offset from the most stable computed form: 0.09 eV/f.u.
- Density: 2.2 g cm⁻³
- SG: R3m (160)

abc: 7.508 7.508 7.508
angles: 31.47 31.47 31.47
Element x y z (fractional)
K 0.000 0.000 0.000
K 0.191 0.191 0.191
Cl 0.428 0.428 0.428
F 0.596 0.596 0.596

***

The following is a GGA-PBE calculation of a relaxed LiTePb2 crystal, from the Alexandria database.

- Density: 7.9 g cm⁻³
- SG: Cmmm (65)
- E: -3.3181 eV/atom

abc: 5.427 5.427 4.022
angles: 90.00 90.00 104.05
Element x y z (fractional)
Li 0.000 0.000 0.000
Te 0.500 0.500 0.000
Pb 0.000 0.500 0.500
Pb 0.500 0.000 0.500

***

The following is a GGA-PBE calculation of a relaxed TcSe2I crystal, from the Alexandria database.

- Offset from the most stable computed form: 0.08 eV/f.u.
- Density: 5.8 g cm⁻³
- SG: P-1 (2)

abc: 5.665 6.482 7.493
angles: 65.14 68.91 64.17
Element x y z (fractional)
Tc 0.205 0.086 0.001
Tc 0.795 0.914 0.999
Se 0.233 0.925 0.764
Se 0.434 0.745 0.235
Se 0.566 0.255 0.765
Se 0.767 0.075 0.236
I 0.113 0.412 0.227
I 0.887 0.588 0.773